1.
Entry from Alexandria via LeMat-Bulk: an optimized crystal structure of SiB4W6 (PBE-GGA).

Cell: 5.774 5.774 5.732 Å, 120.24 120.24 90.00°
Atoms (fractional coordinates):
B (0.083, 0.808, 0.891)
B (0.192, 0.192, 0.109)
B (0.808, 0.083, 0.891)
B (0.917, 0.917, 0.109)
W (0.000, 0.500, 0.000)
W (0.068, 0.419, 0.487)
W (0.419, 0.068, 0.487)
W (0.581, 0.581, 0.513)
W (0.500, 0.000, 0.000)
W (0.932, 0.932, 0.513)
Si (0.500, 0.500, 0.000)

Results
Calculated total energy in eV per atom: -10.0956
E_form (uncorrected) in eV per atom: -0.109
Spin magnetization in μB/atom: 0.0000


2.
Entry from Alexandria via LeMat-Bulk: an optimized crystal structure of Cu2CN (PBE-GGA).

Cell: 4.470 4.470 5.435 Å, 65.72 65.72 90.00°
Atoms (fractional coordinates):
Cu (0.875, 0.878, 0.750)
Cu (0.122, 0.625, 0.250)
Cu (0.628, 0.125, 0.250)
Cu (0.375, 0.372, 0.750)
N (0.750, 0.250, 0.500)
N (0.000, 0.000, 0.000)
C (0.250, 0.750, 0.500)
C (0.500, 0.500, 0.000)

Results
Calculated total energy in eV per atom: -5.1269
E_form (uncorrected) in eV per atom: 1.309
Spin magnetization in μB/atom: 0.0000


3.
Entry from Alexandria via LeMat-Bulk: an optimized crystal structure of YPdC2 (PBE-GGA).

Cell: 4.764 4.764 6.518 Å, 68.57 68.57 90.00°
Atoms (fractional coordinates):
C (0.875, 0.946, 0.750)
C (0.696, 0.125, 0.250)
C (0.375, 0.304, 0.750)
C (0.054, 0.625, 0.250)
Y (0.500, 0.500, 0.000)
Y (0.250, 0.750, 0.500)
Pd (0.750, 0.250, 0.500)
Pd (0.000, 0.000, 0.000)

Results
Calculated total energy in eV per atom: -6.7513
Energy of formation from the pure elements in eV per atom: 0.775
Spin magnetization in μB/atom: 0.0000


4.
Entry from Alexandria via LeMat-Bulk: an optimized crystal structure of ZrCdW4 (PBE-GGA).

Cell: 5.396 5.396 5.396 Å, 60.00 60.00 60.00°
Atoms (fractional coordinates):
W (0.374, 0.374, 0.374)
W (0.374, 0.877, 0.374)
W (0.374, 0.374, 0.877)
W (0.877, 0.374, 0.374)
Zr (0.750, 0.750, 0.750)
Cd (0.000, 0.000, 0.000)

Results
Calculated total energy in eV per atom: -9.9271
Energy of formation from the pure elements in eV per atom: 0.286
Spin magnetization in μB/atom: 0.0000


5.
Entry from Alexandria via LeMat-Bulk: an optimized crystal structure of Pr4PuP5 (PBE-GGA).

Cell: 5.887 7.209 7.209 Å, 80.40 65.90 65.90°
Atoms (fractional coordinates):
Pr (0.801, 0.798, 0.601)
Pr (0.599, 0.601, 0.202)
Pr (0.201, 0.202, 0.399)
Pr (0.403, 0.399, 0.798)
P (0.710, 0.194, 0.387)
P (0.501, 0.000, 0.000)
P (0.905, 0.387, 0.806)
P (0.097, 0.613, 0.194)
P (0.292, 0.806, 0.613)
Pu (0.001, 0.000, 0.000)

Results
Calculated total energy in eV per atom: -7.4745
Energy of formation from the pure elements in eV per atom: -1.425
Spin magnetization in μB/atom: 0.4856


6.
Entry from Alexandria via LeMat-Bulk: an optimized crystal structure of GeBi2Mo (PBE-GGA).

Cell: 6.482 6.482 7.986 Å, 66.06 66.06 90.00°
Atoms (fractional coordinates):
Bi (0.639, 0.125, 0.250)
Bi (0.111, 0.625, 0.250)
Bi (0.875, 0.889, 0.750)
Bi (0.375, 0.361, 0.750)
Mo (0.000, 0.000, 0.000)
Mo (0.750, 0.250, 0.500)
Ge (0.250, 0.750, 0.500)
Ge (0.500, 0.500, 0.000)

Results
Calculated total energy in eV per atom: -4.9534
Energy of formation from the pure elements in eV per atom: 0.849
Spin magnetization in μB/atom: 0.5484